<P>
Material: KSnSbI2
Method: DFT, PBE
State: relaxed Values from VASP.

The structure in Quantum ESPRESSO input format:
```
&SYSTEM
  ibrav = 0, nat = 5, ntyp = 4
/
ATOMIC_SPECIES
K 39.10 K.upf
Sn 118.71 Sn.upf
Sb 121.76 Sb.upf
I 126.90 I.upf
ATOMIC_POSITIONS angstrom
K 0.000 0.000 0.000
Sn 3.140 3.140 2.970
Sb 3.140 3.140 0.000
I 0.000 3.140 2.970
I 3.140 0.000 2.970
CELL_PARAMETERS angstrom
6.280 0.000 0.000
0.000 6.280 0.000
0.000 0.000 5.939
```

<Q>
Material: KSnSbI2
Method: DFT, PBE
State: relaxed Values from VASP.

The structure in Quantum ESPRESSO input format:
```
&SYSTEM
  ibrav = 0, nat = 5, ntyp = 4
/
ATOMIC_SPECIES
K 39.10 K.upf
Sn 118.71 Sn.upf
Sb 121.76 Sb.upf
I 126.90 I.upf
ATOMIC_POSITIONS angstrom
K 0.000 0.000 0.000
Sn 3.104 3.104 3.226
Sb 0.000 0.000 3.226
I 0.000 3.104 0.000
I 3.104 0.000 0.000
CELL_PARAMETERS angstrom
6.207 0.000 0.000
0.000 6.207 0.000
0.000 0.000 6.452
```

Which of them is the most stable, and which is the least stable? <P> and <Q>, in that order.

<P>
Material: KSnSb2I
Method: DFT, PBE
State: relaxed Values from VASP.

The structure in Quantum ESPRESSO input format:
```
&SYSTEM
  ibrav = 0, nat = 5, ntyp = 4
/
ATOMIC_SPECIES
K 39.10 K.upf
Sn 118.71 Sn.upf
Sb 121.76 Sb.upf
I 126.90 I.upf
ATOMIC_POSITIONS angstrom
K 0.000 0.000 0.000
Sn 2.860 2.860 3.307
Sb 0.000 2.860 3.307
Sb 2.860 0.000 3.307
I 2.860 2.860 0.000
CELL_PARAMETERS angstrom
5.721 0.000 0.000
0.000 5.721 0.000
0.000 0.000 6.615
```

<Q>
Material: KSnSb2I
Method: DFT, PBE
State: relaxed Values from VASP.

The structure in Quantum ESPRESSO input format:
```
&SYSTEM
  ibrav = 0, nat = 5, ntyp = 4
/
ATOMIC_SPECIES
K 39.10 K.upf
Sn 118.71 Sn.upf
Sb 121.76 Sb.upf
I 126.90 I.upf
ATOMIC_POSITIONS angstrom
K 0.000 0.000 0.000
Sn 2.989 2.989 3.026
Sb 0.000 2.989 0.000
Sb 2.989 0.000 0.000
I 0.000 0.000 3.026
CELL_PARAMETERS angstrom
5.977 0.000 0.000
0.000 5.977 0.000
0.000 0.000 6.052
```

Which of them is the most stable, and which is the least stable? <P> and <Q>, in that order.

<P>
Material: KTcSbI2
Method: DFT, PBE
State: relaxed Values from VASP.

The structure in Quantum ESPRESSO input format:
```
&SYSTEM
  ibrav = 0, nat = 5, ntyp = 4
/
ATOMIC_SPECIES
K 39.10 K.upf
Tc 98.00 Tc.upf
Sb 121.76 Sb.upf
I 126.90 I.upf
ATOMIC_POSITIONS angstrom
K 0.000 0.000 0.000
Tc 2.941 2.941 2.548
Sb 2.941 2.941 0.000
I 0.000 2.941 2.548
I 2.941 0.000 2.548
CELL_PARAMETERS angstrom
5.881 0.000 0.000
0.000 5.881 0.000
0.000 0.000 5.097
```

<Q>
Material: KTcSbI2
Method: DFT, PBE
State: relaxed Values from VASP.

The structure in Quantum ESPRESSO input format:
```
&SYSTEM
  ibrav = 0, nat = 5, ntyp = 4
/
ATOMIC_SPECIES
K 39.10 K.upf
Tc 98.00 Tc.upf
Sb 121.76 Sb.upf
I 126.90 I.upf
ATOMIC_POSITIONS angstrom
K 0.000 0.000 0.000
Tc 3.149 3.149 3.212
Sb 0.000 0.000 3.212
I 0.000 3.149 0.000
I 3.149 0.000 0.000
CELL_PARAMETERS angstrom
6.299 0.000 0.000
0.000 6.299 0.000
0.000 0.000 6.423
```

Which of them is the most stable, and which is the least stable? <P> and <Q>, in that order.

<P>
Material: KSbTeI2
Method: DFT, PBE
State: relaxed Values from VASP.

The structure in Quantum ESPRESSO input format:
```
&SYSTEM
  ibrav = 0, nat = 5, ntyp = 4
/
ATOMIC_SPECIES
K 39.10 K.upf
Sb 121.76 Sb.upf
Te 127.60 Te.upf
I 126.90 I.upf
ATOMIC_POSITIONS angstrom
K 0.000 0.000 0.000
Sb 3.101 3.101 2.886
Te 3.101 3.101 0.000
I 0.000 3.101 2.886
I 3.101 0.000 2.886
CELL_PARAMETERS angstrom
6.202 0.000 0.000
0.000 6.202 0.000
0.000 0.000 5.773
```

<Q>
Material: KSbTeI2
Method: DFT, PBE
State: relaxed Values from VASP.

The structure in Quantum ESPRESSO input format:
```
&SYSTEM
  ibrav = 0, nat = 5, ntyp = 4
/
ATOMIC_SPECIES
K 39.10 K.upf
Sb 121.76 Sb.upf
Te 127.60 Te.upf
I 126.90 I.upf
ATOMIC_POSITIONS angstrom
K 0.000 0.000 0.000
Sb 3.211 3.211 0.000
Te 3.211 3.211 2.863
I 0.000 3.211 2.863
I 3.211 0.000 2.863
CELL_PARAMETERS angstrom
6.423 0.000 0.000
0.000 6.423 0.000
0.000 0.000 5.727
```

<R>
Material: KSbTeI2
Method: DFT, PBE
State: relaxed Values from VASP.

The structure in Quantum ESPRESSO input format:
```
&SYSTEM
  ibrav = 0, nat = 5, ntyp = 4
/
ATOMIC_SPECIES
K 39.10 K.upf
Sb 121.76 Sb.upf
Te 127.60 Te.upf
I 126.90 I.upf
ATOMIC_POSITIONS angstrom
K 0.000 0.000 0.000
Sb 0.000 0.000 3.560
Te 3.077 3.077 3.560
I 0.000 3.077 0.000
I 3.077 0.000 0.000
CELL_PARAMETERS angstrom
6.153 0.000 0.000
0.000 6.153 0.000
0.000 0.000 7.120
```

<S>
Material: KSbTeI2
Method: DFT, PBE
State: relaxed Values from VASP.

The structure in Quantum ESPRESSO input format:
```
&SYSTEM
  ibrav = 0, nat = 5, ntyp = 4
/
ATOMIC_SPECIES
K 39.10 K.upf
Sb 121.76 Sb.upf
Te 127.60 Te.upf
I 126.90 I.upf
ATOMIC_POSITIONS angstrom
K 0.000 0.000 0.000
Sb 3.049 3.049 3.158
Te 0.000 0.000 3.158
I 0.000 3.049 0.000
I 3.049 0.000 0.000
CELL_PARAMETERS angstrom
6.098 0.000 0.000
0.000 6.098 0.000
0.000 0.000 6.316
```

Which of them is the most stable, and which is the least stable? <P> and <R>, in that order.

<P>
Material: KTiSbI2
Method: DFT, PBE
State: relaxed Values from VASP.

The structure in Quantum ESPRESSO input format:
```
&SYSTEM
  ibrav = 0, nat = 5, ntyp = 4
/
ATOMIC_SPECIES
K 39.10 K.upf
Ti 47.87 Ti.upf
Sb 121.76 Sb.upf
I 126.90 I.upf
ATOMIC_POSITIONS angstrom
K 0.000 0.000 0.000
Ti 2.904 2.904 2.665
Sb 2.904 2.904 0.000
I 0.000 2.904 2.665
I 2.904 0.000 2.665
CELL_PARAMETERS angstrom
5.808 0.000 0.000
0.000 5.808 0.000
0.000 0.000 5.331
```

<Q>
Material: KTiSbI2
Method: DFT, PBE
State: relaxed Values from VASP.

The structure in Quantum ESPRESSO input format:
```
&SYSTEM
  ibrav = 0, nat = 5, ntyp = 4
/
ATOMIC_SPECIES
K 39.10 K.upf
Ti 47.87 Ti.upf
Sb 121.76 Sb.upf
I 126.90 I.upf
ATOMIC_POSITIONS angstrom
K 0.000 0.000 0.000
Ti 3.102 3.102 3.184
Sb 0.000 0.000 3.184
I 0.000 3.102 0.000
I 3.102 0.000 0.000
CELL_PARAMETERS angstrom
6.204 0.000 0.000
0.000 6.204 0.000
0.000 0.000 6.369
```

Which of them is the most stable, and which is the least stable? <P> and <Q>, in that order.

<P>
Material: KSbWI2
Method: DFT, PBE
State: relaxed Values from VASP.

The structure in Quantum ESPRESSO input format:
```
&SYSTEM
  ibrav = 0, nat = 5, ntyp = 4
/
ATOMIC_SPECIES
K 39.10 K.upf
Sb 121.76 Sb.upf
W 183.84 W.upf
I 126.90 I.upf
ATOMIC_POSITIONS angstrom
K 0.000 0.000 0.000
Sb 2.965 2.965 0.000
W 2.965 2.965 2.616
I 0.000 2.965 2.616
I 2.965 0.000 2.616
CELL_PARAMETERS angstrom
5.930 0.000 0.000
0.000 5.930 0.000
0.000 0.000 5.232
```

<Q>
Material: KSbWI2
Method: DFT, PBE
State: relaxed Values from VASP.

The structure in Quantum ESPRESSO input format:
```
&SYSTEM
  ibrav = 0, nat = 5, ntyp = 4
/
ATOMIC_SPECIES
K 39.10 K.upf
Sb 121.76 Sb.upf
W 183.84 W.upf
I 126.90 I.upf
ATOMIC_POSITIONS angstrom
K 0.000 0.000 0.000
Sb 0.000 0.000 3.242
W 3.249 3.249 3.242
I 0.000 3.249 0.000
I 3.249 0.000 0.000
CELL_PARAMETERS angstrom
6.498 0.000 0.000
0.000 6.498 0.000
0.000 0.000 6.484
```

Which of them is the most stable, and which is the least stable? <P> and <Q>, in that order.